HfGaBrCl2: relaxed, GGA-PBE.

Cell and atoms, written as POSCAR:
```
HfGaBrCl2
1.0
4.984 0.000 0.000
0.000 4.984 0.000
0.000 0.000 5.360
Hf Ga Br Cl
1 1 1 2
direct
0.000 0.000 0.000
0.500 0.500 0.500
0.000 0.000 0.500
0.000 0.500 0.000
0.500 0.000 0.000
```

Calculated values
Density = 4977 kg/m3
DOS at the Fermi energy = 4.0 states/eV/cell
Formation energy (no corrections) = -0.72 eV per atom
Space-group type = P4/mmm, No. 123

HfGa2Br2Cl4: relaxed, GGA-PBE.

Cell and atoms, written as POSCAR:
```
HfGa2Br2Cl4
1.0
6.332 -3.569 0.000
6.332 3.569 0.000
-2.463 0.000 6.632
Hf Ga Br Cl
1 2 2 4
direct
0.000 0.000 0.000
0.251 0.251 0.789
0.749 0.749 0.211
0.185 0.185 0.319
0.815 0.815 0.681
0.157 0.676 0.154
0.324 0.843 0.846
0.676 0.157 0.154
0.843 0.324 0.846
```

Calculated values
Density = 3432 kg/m3
DOS at the Fermi energy = 0.0 states/eV/cell
Formation energy (no corrections) = -1.24 eV per atom
Space-group type = C2/m, No. 12

Ga2HgBr2Cl6: relaxed, GGA-PBE.

Cell and atoms, written as POSCAR:
```
Ga2HgBr2Cl6
1.0
6.436 0.000 0.000
-3.218 5.573 0.000
0.000 0.000 11.416
Ga Hg Br Cl
2 1 2 6
direct
0.333 0.667 0.286
0.667 0.333 0.714
0.000 0.000 0.500
0.333 0.667 0.086
0.667 0.333 0.914
0.005 0.660 0.358
0.340 0.345 0.358
0.345 0.005 0.642
0.655 0.995 0.358
0.660 0.655 0.642
0.995 0.340 0.642
```

Calculated values
Density = 2890 kg/m3
DOS at the Fermi energy = 0.0 states/eV/cell
Formation energy (no corrections) = -0.88 eV per atom
Space-group type = P-3, No. 147